Record 1
The following is a GGA-PBE calculation of crystalline Si2RuBr at its relaxed geometry, from the Alexandria database.

## Properties
M_tot = 0.000 μB per atom
Electronic total energy = -5.26 eV per atom
Formation energy without anion corrections = 0.187 eV per atom

Cell: 7.0750 7.0750 7.0750 Å, 31.19 31.19 31.19°
Closest atoms and distances in Å follow each position.
Fractional positions:
Br (0.4742, 0.4742, 0.4742)  3 Ru 2.80
Si (0.0128, 0.0128, 0.0128)  3 Ru 2.35, 3 Si 2.45
Si (0.2918, 0.2918, 0.2918)  3 Si 2.45
Ru (0.7211, 0.7211, 0.7211)  3 Si 2.35


Record 2
The following is a GGA-PBE calculation of crystalline Y2SeBr at its relaxed geometry, from the Alexandria database.

## Properties
M_tot = 0.000 μB per atom
Electronic total energy = -5.65 eV per atom
Formation energy without anion corrections = -1.132 eV per atom

Cell: 5.8519 5.8519 5.8519 Å, 142.47 110.73 81.55°
Closest atoms and distances in Å follow each position.
Fractional positions:
Y (0.0165, 0.0165, 0.0000)  2 Se 2.80, 2 Br 3.02
Y (0.4835, 0.4835, 0.0000)  2 Se 2.80, 2 Br 3.02
Br (0.7500, 0.2500, 0.5000)  4 Y 3.02
Se (0.2500, 0.7500, 0.5000)  4 Y 2.80


Record 3
The following is a GGA-PBE calculation of crystalline NbTe3Pd at its relaxed geometry, from the Alexandria database.

## Properties
M_tot = 0.000 μB per atom
Electronic total energy = -4.47 eV per atom
Formation energy without anion corrections = 0.472 eV per atom

Cell: 5.3807 5.3807 5.3807 Å, 90.00 90.00 90.00°
Closest atoms and distances in Å follow each position.
Fractional positions:
Te (0.0000, 0.0000, 0.5000)  2 Nb 2.69
Nb (0.0000, 0.0000, 0.0000)  6 Te 2.69
Te (0.5000, 0.0000, 0.0000)  2 Nb 2.69
Pd (0.5000, 0.5000, 0.5000)  12 Te 3.80
Te (0.0000, 0.5000, 0.0000)  2 Nb 2.69


Record 4
The following is a GGA-PBE calculation of crystalline CuGeAu2N at its relaxed geometry, from the Alexandria database.

## Properties
M_tot = 0.000 μB per atom
Electronic total energy = -3.78 eV per atom
Formation energy without anion corrections = 0.936 eV per atom

Cell: 5.0315 3.5582 5.0315 Å, 90.00 90.00 90.00°
Closest atoms and distances in Å follow each position.
Fractional positions:
Au (0.0000, 0.0000, 0.5000)  2 Ge 2.52
Cu (0.5000, 0.5000, 0.5000)  8 Au 3.08
Ge (0.0000, 0.0000, 0.0000)  2 N 1.78
Au (0.5000, 0.0000, 0.0000)  2 Ge 2.52
N (0.0000, 0.5000, 0.0000)  2 Ge 1.78


Record 5
The following is a GGA-PBE calculation of crystalline Sm2TlBi at its relaxed geometry, from the Alexandria database.

## Properties
M_tot = 0.000 μB per atom
Electronic total energy = -4.46 eV per atom
Calculated formation energy = -542 meV per atom

Cell: 4.3372 4.3372 8.4704 Å, 75.17 75.17 60.00°
Closest atoms and distances in Å follow each position.
Fractional positions:
Bi (0.0000, 0.0000, 0.0000)  6 Sm 3.16
Sm (0.2540, 0.2540, 0.2378)  3 Bi 3.16, 3 Tl 3.28
Tl (0.5000, 0.5000, 0.5000)  6 Sm 3.28
Sm (0.7460, 0.7460, 0.7622)  3 Bi 3.16, 3 Tl 3.28


Record 6
The following is a GGA-PBE calculation of crystalline PuNbFe4 at its relaxed geometry, from the Alexandria database.

## Properties
M_tot = 1.325 μB per atom
Electronic total energy = -9.60 eV per atom
Calculated formation energy = 113 meV per atom

Cell: 4.8971 4.8971 4.8971 Å, 60.00 60.00 60.00°
Closest atoms and distances in Å follow each position.
Fractional positions:
Nb (0.2500, 0.2500, 0.2500)  12 Fe 2.87, 4 Pu 3.00
Fe (0.6249, 0.6249, 0.6249)  6 Fe 2.45
Fe (0.6249, 0.1254, 0.6249)  6 Fe 2.45
Fe (0.6249, 0.6249, 0.1254)  6 Fe 2.45
Pu (0.0000, 0.0000, 0.0000)  12 Fe 2.87, 4 Nb 3.00
Fe (0.1254, 0.6249, 0.6249)  6 Fe 2.45


Record 7
The following is a GGA-PBE calculation of crystalline NaNd2TcO6 at its relaxed geometry, from the Alexandria database.

## Properties
M_tot = 0.200 μB per atom
Electronic total energy = -7.49 eV per atom
Formation energy without anion corrections = -2.395 eV per atom

Cell: 5.8864 5.8872 5.6922 Å, 58.88 58.87 60.00°
Closest atoms and distances in Å follow each position.
Fractional positions:
O (0.6533, 0.1134, 0.7959)  1 Tc 1.98
O (0.9790, 0.5189, 0.3071)  1 Tc 1.98
O (0.1133, 0.4376, 0.7959)  1 Tc 1.98
Na (0.8162, 0.8161, 0.5515)  6 O 2.32
Nd (0.0841, 0.0841, 0.7477)  6 O 2.33-2.57
O (0.1949, 0.9791, 0.3068)  1 Tc 1.98
O (0.4374, 0.6532, 0.7962)  1 Tc 1.98
Nd (0.5482, 0.5482, 0.3553)  6 O 2.33-2.57
O (0.5191, 0.1947, 0.3071)  1 Tc 1.98
Tc (0.3162, 0.3162, 0.0515)  6 O 1.98


Record 8
The following is a GGA-PBE calculation of crystalline LiHfV2Ag at its relaxed geometry, from the Alexandria database.

## Properties
M_tot = 0.000 μB per atom
Electronic total energy = -5.19 eV per atom
Calculated formation energy = 1400 meV per atom

Cell: 4.6464 5.3274 4.6464 Å, 90.00 90.00 90.00°
Closest atoms and distances in Å follow each position.
Fractional positions:
Ag (0.0000, 0.5000, 0.0000)  2 Hf 2.66
Li (0.5000, 0.5000, 0.5000)  4 Ag 3.29, 8 V 3.53
V (0.0000, 0.0000, 0.5000)  2 Hf 2.32
Hf (0.0000, 0.0000, 0.0000)  4 V 2.32
V (0.5000, 0.0000, 0.0000)  2 Hf 2.32


Record 9
The following is a GGA-PBE calculation of crystalline Li5Ca2Al2In at its relaxed geometry, from the Alexandria database.

## Properties
M_tot = 0.000 μB per atom
Electronic total energy = -2.48 eV per atom
Calculated formation energy = -105 meV per atom

Cell: 4.6130 10.0407 10.0407 Å, 90.00 90.00 90.00°
Closest atoms and distances in Å follow each position.
Fractional positions:
Al (0.0000, 0.4044, 0.0956)  2 Li 2.68, 1 Al 2.72, 1 Ca 2.97
Ca (0.0000, 0.8049, 0.6951)  3 Al 2.97-3.09
Ca (0.0000, 0.3049, 0.8049)  3 Al 2.97-3.09
Al (0.0000, 0.9044, 0.4044)  2 Li 2.68, 1 Al 2.72, 1 Ca 2.97
Li (0.5000, 0.9469, 0.2173)  3 Li 2.89-3.18, 2 Al 3.01, 2 In 3.22
Ca (0.0000, 0.6951, 0.1951)  3 Al 2.97-3.09
Li (0.5000, 0.2173, 0.0531)  3 Li 2.89-3.18, 2 Al 3.01, 2 In 3.22
Li (0.5000, 0.7173, 0.4469)  3 Li 2.89-3.18, 2 Al 3.01, 2 In 3.22
Li (0.5000, 0.7827, 0.9469)  3 Li 2.89-3.18, 2 Al 3.01, 2 In 3.22
Ca (0.0000, 0.1951, 0.3049)  3 Al 2.97-3.09
In (0.0000, 0.5000, 0.5000)  8 Li 3.22
Li (0.5000, 0.2827, 0.5531)  3 Li 2.89-3.18, 2 Al 3.01, 2 In 3.22
Li (0.5000, 0.4469, 0.2827)  3 Li 2.89-3.18, 2 Al 3.01, 2 In 3.22
Li (0.5000, 0.0531, 0.7827)  3 Li 2.89-3.18, 2 Al 3.01, 2 In 3.22
Li (0.5000, 0.5000, 0.0000)  4 Al 2.68, 4 Li 2.89
Li (0.5000, 0.0000, 0.5000)  4 Al 2.68, 4 Li 2.89
In (0.0000, 0.0000, 0.0000)  8 Li 3.22
Al (0.0000, 0.5956, 0.9044)  2 Li 2.68, 1 Al 2.72, 1 Ca 2.97
Al (0.0000, 0.0956, 0.5956)  2 Li 2.68, 1 Al 2.72, 1 Ca 2.97
Li (0.5000, 0.5531, 0.7173)  3 Li 2.89-3.18, 2 Al 3.01, 2 In 3.22


Record 10
The following is a GGA-PBE calculation of crystalline Ir3AuN at its relaxed geometry, from the Alexandria database.

## Properties
M_tot = 0.000 μB per atom
Electronic total energy = -6.92 eV per atom
Formation energy without anion corrections = 0.714 eV per atom

Cell: 4.1320 4.1320 4.1320 Å, 90.00 90.00 90.00°
Closest atoms and distances in Å follow each position.
Fractional positions:
Ir (0.0000, 0.0000, 0.5000)  2 N 2.07
Ir (0.0000, 0.5000, 0.0000)  2 N 2.07
Ir (0.5000, 0.0000, 0.0000)  2 N 2.07
Au (0.5000, 0.5000, 0.5000)  12 Ir 2.92
N (0.0000, 0.0000, 0.0000)  6 Ir 2.07


Record 11
The following is a GGA-PBE calculation of crystalline Pr5Ag2 at its relaxed geometry, from the Alexandria database.

## Properties
M_tot = 0.000 μB per atom
Electronic total energy = -4.31 eV per atom
Calculated formation energy = -80 meV per atom

Cell: 7.9491 6.8861 8.9654 Å, 88.88 116.32 90.00°
Closest atoms and distances in Å follow each position.
Fractional positions:
Pr (0.3194, 0.2211, 0.5486)  2 Ag 3.02-3.29
Ag (0.6613, 0.9833, 0.7721)  5 Pr 3.01-3.33
Ag (0.3387, 0.0167, 0.2279)  5 Pr 3.01-3.33
Pr (0.0621, 0.9779, 0.8220)  2 Ag 3.01-3.33
Pr (0.4753, 0.2500, 0.0000)  2 Ag 3.13, 2 Pr 3.47
Pr (0.2401, 0.5221, 0.1780)  2 Ag 3.01-3.33
Pr (0.7708, 0.2789, 0.4514)  2 Ag 3.02-3.29
Pr (0.5247, 0.7500, 0.0000)  2 Ag 3.13, 2 Pr 3.47
Ag (0.1108, 0.4833, 0.7721)  5 Pr 3.01-3.33
Pr (0.7599, 0.4779, 0.8220)  2 Ag 3.01-3.33
Pr (0.2292, 0.7211, 0.5486)  2 Ag 3.02-3.29
Pr (0.9379, 0.0221, 0.1780)  2 Ag 3.01-3.33
Ag (0.8892, 0.5167, 0.2279)  5 Pr 3.01-3.33
Pr (0.6806, 0.7789, 0.4514)  2 Ag 3.02-3.29


Record 12
The following is a GGA-PBE calculation of crystalline DyYCuGe at its relaxed geometry, from the Alexandria database.

## Properties
M_tot = 0.000 μB per atom
Electronic total energy = -5.45 eV per atom
Calculated formation energy = -507 meV per atom

Cell: 4.9751 4.9751 4.9751 Å, 60.00 60.00 60.00°
Closest atoms and distances in Å follow each position.
Fractional positions:
Ge (0.2500, 0.2500, 0.2500)  4 Y 3.05, 4 Dy 3.05
Dy (0.0000, 0.0000, 0.0000)  4 Ge 3.05, 4 Cu 3.05
Y (0.5000, 0.5000, 0.5000)  4 Cu 3.05, 4 Ge 3.05
Cu (0.7500, 0.7500, 0.7500)  4 Dy 3.05, 4 Y 3.05


Please write out number 6 again, unchanged.
The following is a GGA-PBE calculation of crystalline PuNbFe4 at its relaxed geometry, from the Alexandria database.

## Properties
M_tot = 1.325 μB per atom
Electronic total energy = -9.60 eV per atom
Calculated formation energy = 113 meV per atom

Cell: 4.8971 4.8971 4.8971 Å, 60.00 60.00 60.00°
Closest atoms and distances in Å follow each position.
Fractional positions:
Nb (0.2500, 0.2500, 0.2500)  12 Fe 2.87, 4 Pu 3.00
Fe (0.6249, 0.6249, 0.6249)  6 Fe 2.45
Fe (0.6249, 0.1254, 0.6249)  6 Fe 2.45
Fe (0.6249, 0.6249, 0.1254)  6 Fe 2.45
Pu (0.0000, 0.0000, 0.0000)  12 Fe 2.87, 4 Nb 3.00
Fe (0.1254, 0.6249, 0.6249)  6 Fe 2.45